Material: BaBi2N2
Method: DFT, GGA-PBE
State: relaxed

* DOS at the Fermi energy: 1.235 states/eV/atom
* total energy: -4.83 eV per atom
* formation energy from raw total energies: 0.436 eV per atom

Geometry as POSCAR:
```
BaBi2N2
1.0
8.299 0.000 0.000
0.000 8.299 0.000
0.000 0.000 3.767
Ba Bi N
2 4 4
Cartesian
0.000 0.000 0.000
4.149 4.149 0.000
1.196 2.953 1.884
2.953 7.102 1.884
5.346 1.196 1.884
7.102 5.346 1.884
2.073 2.076 0.000
2.076 6.226 0.000
6.223 2.073 0.000
6.226 6.223 0.000
```

Material: NdCu6Au12
Method: DFT, GGA-PBE
State: relaxed

* DOS at the Fermi energy: 0.313 states/eV/atom
* total energy: -3.67 eV per atom
* ΔH_f (0 K): -0.0536 eV/atom

Geometry as POSCAR:
```
NdCu6Au12
1.0
5.891 3.401 2.902
-5.891 3.401 2.902
0.000 -6.803 2.902
Nd Cu Au
1 6 12
Cartesian
0.000 0.000 0.000
0.000 -2.723 3.677
-2.358 1.362 3.677
-2.358 -1.362 5.029
2.358 1.362 3.677
2.358 -1.362 5.029
0.000 2.723 5.029
-2.249 -3.896 4.353
-4.498 0.000 4.353
-1.495 -0.863 2.545
1.495 -0.863 2.545
0.000 1.726 2.545
2.249 -3.896 4.353
-2.249 3.896 4.353
0.000 -1.726 6.161
-1.495 0.863 6.161
1.495 0.863 6.161
4.498 0.000 4.353
2.249 3.896 4.353
```

Material: Ca2InIrO8
Method: DFT, GGA-PBE
State: relaxed

* DOS at the Fermi energy: 0.276 states/eV/atom
* total energy: -6.00 eV per atom
* formation energy from raw total energies: -1.390 eV per atom

Geometry as POSCAR:
```
Ca2InIrO8
1.0
5.028 0.000 0.000
0.000 6.862 0.000
-0.293 0.000 5.044
Ca In Ir O
2 1 1 8
Cartesian
0.000 1.700 0.000
0.000 5.162 0.000
2.368 0.000 2.522
2.368 3.431 2.522
1.020 0.000 1.077
1.094 3.431 1.156
1.423 2.065 3.404
1.423 4.797 3.404
3.313 2.065 1.640
3.313 4.797 1.640
3.641 3.431 3.889
3.716 0.000 3.967
```